1.
A geometry-optimized Tb2SmEr3Te6 structure. Source: the Alexandria database, functional PBE.

POSCAR file:
```
Tb2SmEr3Te6
1.0
4.3292 0.0000 0.0000
0.0000 8.7704 0.2541
-2.1646 -2.5891 9.1678
Tb Sm Er Te
2 1 3 6
Cartesian
2.1646 4.1469 6.3120
0.0000 2.0345 3.1098
2.1646 0.0000 0.0000
2.1646 4.3852 0.1270
2.1646 -0.2629 6.1975
0.0000 6.4442 3.2243
0.0000 6.3581 6.2797
2.1646 4.2674 3.1985
2.1646 -0.1768 3.1421
2.1646 -0.3299 9.2202
0.0000 6.5113 0.2016
0.0000 1.9139 6.2233
```

Calculated volume ... 350.9 Å³ per cell
DOS at the Fermi energy ... 6.19 states/eV/f.u.
DFT total energy ... -5.1508 eV per atom
Size of the total moment ... 0.00 μB/f.u.
Space-group type ... C2/m, No. 12

2.
A geometry-optimized Tb5SmErTh2 structure. Source: the Alexandria database, functional PBE.

POSCAR file:
```
Tb5SmErTh2
1.0
8.8247 0.0000 0.0000
0.0000 8.8247 0.0000
-4.4124 -4.4124 7.7099
Tb Sm Er Th
10 2 2 4
Cartesian
6.9768 2.5644 2.1357
2.5644 -1.8480 5.5742
-2.5644 1.8480 5.5742
-1.8480 -2.5644 5.5742
1.8480 2.5644 5.5742
6.2604 6.9768 2.1357
2.5644 1.8480 2.1357
1.8480 6.2604 2.1357
4.4124 4.4124 0.0000
0.0000 0.0000 0.0000
0.0000 0.0000 3.8549
4.4124 4.4124 3.8549
0.0000 4.4124 3.8549
4.4124 0.0000 3.8549
1.0525 3.3599 0.0000
5.4649 1.0525 0.0000
3.3599 7.7722 0.0000
7.7722 5.4649 0.0000
```

Calculated volume ... 600.4 Å³ per cell
DOS at the Fermi energy ... 12.40 states/eV/f.u.
DFT total energy ... -4.9138 eV per atom
Size of the total moment ... 0.00 μB/f.u.
Space-group type ... I4/mcm, No. 140

3.
A geometry-optimized TbSm6Er2Th structure. Source: the Alexandria database, functional PBE.

POSCAR file:
```
TbSm6Er2Th
1.0
-3.2675 8.6298 2.5634
-3.6001 0.4145 -8.0392
-4.7201 -4.2207 6.1374
Tb Sm Er Th
2 12 4 2
Cartesian
-5.0794 -0.1695 0.9865
-6.5083 4.9932 -0.3248
-4.1922 -2.6653 3.9345
-6.4909 0.1563 4.6754
-7.3955 7.4890 -3.2728
-5.0968 4.6673 -4.0138
-6.6062 1.3131 -4.5192
-2.7194 1.7960 -4.0543
-4.9815 3.5105 5.1809
-8.8683 3.0276 4.7159
-5.1996 -0.7380 -2.3972
-4.5066 2.2719 -1.3583
-6.3881 5.5617 3.0589
-7.0811 2.5517 2.0200
-7.6654 1.2212 -0.9458
-2.1835 -0.2780 -1.0030
-3.9223 3.6024 1.6075
-9.4042 5.1017 1.6646
-4.4529 2.4234 -6.9440
-7.1348 2.4002 7.6057
```

Calculated volume ... 664.7 Å³ per cell
DOS at the Fermi energy ... 14.39 states/eV/f.u.
DFT total energy ... -4.8026 eV per atom
Size of the total moment ... 0.00 μB/f.u.
Space-group type ... C2/c, No. 15